No. 1
The following is a PBEsol calculation of a relaxed structure of RbAu2N, from the Alexandria database.

Values from the calculation:
The formation energy without anion corrections is 0.040 eV/atom. As for the density: 8183 kg/m³. The calculation puts the uncorrected energy at -4.3096 eV/atom.

a = 6.567 Å, b = 6.567 Å, c = 6.567 Å
α = 60.00°, β = 60.00°, γ = 60.00°
Element x y z (fractional)
N 0.000 0.000 0.000
N 0.250 0.250 0.250
Au 0.125 0.125 0.625
Au 0.125 0.625 0.125
Au 0.125 0.125 0.125
Au 0.625 0.125 0.125
Rb 0.500 0.500 0.500
Rb 0.750 0.750 0.750

=====

No. 2
The following is a PBEsol calculation of a relaxed structure of ReAuS2N, from the Alexandria database.

Values from the calculation:
The formation energy without anion corrections is 0.455 eV/atom. As for the density: 9312 kg/m³. The calculation puts the uncorrected energy at -6.4556 eV/atom.

a = 3.704 Å, b = 4.712 Å, c = 4.712 Å
α = 90.00°, β = 90.00°, γ = 90.00°
Element x y z (fractional)
Re 0.000 0.000 0.000
Au 0.500 0.500 0.500
N 0.500 0.000 0.000
S 0.000 0.000 0.500
S 0.000 0.500 0.000

=====

No. 3
The following is a PBEsol calculation of a relaxed structure of ReAuSe2N, from the Alexandria database.

Values from the calculation:
The formation energy without anion corrections is 1.790 eV/atom. As for the density: 9692 kg/m³. The calculation puts the uncorrected energy at -4.9061 eV/atom.

a = 3.636 Å, b = 5.114 Å, c = 5.114 Å
α = 90.00°, β = 90.00°, γ = 90.00°
Each line ends with the local moment (μB).
Element x y z (fractional)
Se 0.000 0.000 0.500  -0.07
Se 0.000 0.500 0.000  -0.07
Au 0.000 0.000 0.000  -0.04
N 0.500 0.000 0.000  -0.12
Re 0.500 0.500 0.500  2.60

=====

No. 4
The following is a PBEsol calculation of a relaxed structure of ReTeAuN2, from the Alexandria database.

Values from the calculation:
The formation energy without anion corrections is 2.332 eV/atom. As for the density: 8575 kg/m³. The calculation puts the uncorrected energy at -5.2349 eV/atom.

a = 3.842 Å, b = 3.842 Å, c = 7.070 Å
α = 90.00°, β = 90.00°, γ = 90.00°
Each line ends with the local moment (μB).
Element x y z (fractional)
N 0.500 0.000 0.000  0.88
N 0.000 0.500 0.000  0.88
Au 0.000 0.000 0.000  0.29
Re 0.500 0.500 0.500  2.15
Te 0.000 0.000 0.500  -0.03

=====

No. 5
The following is a PBEsol calculation of a relaxed structure of RhAu2N2, from the Alexandria database.

Values from the calculation:
The formation energy without anion corrections is 1.031 eV/atom. As for the density: 12793 kg/m³. The calculation puts the uncorrected energy at -5.5766 eV/atom.

a = 4.210 Å, b = 4.862 Å, c = 4.210 Å
α = 64.34°, β = 90.00°, γ = 115.66°
Element x y z (fractional)
N 0.576 0.152 0.424
N 0.424 0.848 0.576
Au 0.250 0.500 0.250
Au 0.750 0.500 0.750
Rh 0.000 0.000 0.000

=====

No. 6
The following is a PBEsol calculation of a relaxed structure of Rh3AuN, from the Alexandria database.

Values from the calculation:
The formation energy without anion corrections is 2.972 eV/atom. As for the density: 7689 kg/m³. The calculation puts the uncorrected energy at -4.4008 eV/atom.

a = 4.824 Å, b = 4.824 Å, c = 4.824 Å
α = 90.00°, β = 90.00°, γ = 90.00°
Each line ends with the local moment (μB).
Element x y z (fractional)
Rh 0.000 0.500 0.000  1.09
Rh 0.000 0.000 0.500  1.09
Rh 0.500 0.000 0.000  1.09
N 0.500 0.500 0.500  1.55
Au 0.000 0.000 0.000  0.24

=====

No. 7
The following is a PBEsol calculation of a relaxed structure of Te2RhAuN, from the Alexandria database.

Values from the calculation:
The formation energy without anion corrections is 1.187 eV/atom. As for the density: 8815 kg/m³. The calculation puts the uncorrected energy at -4.3417 eV/atom.

a = 3.617 Å, b = 5.444 Å, c = 5.444 Å
α = 90.00°, β = 90.00°, γ = 90.00°
Element x y z (fractional)
Rh 0.500 0.500 0.500
N 0.500 0.000 0.000
Te 0.000 0.000 0.500
Te 0.000 0.500 0.000
Au 0.000 0.000 0.000

=====

No. 8
The following is a PBEsol calculation of a relaxed structure of ZnRhAu2N, from the Alexandria database.

Values from the calculation:
The formation energy without anion corrections is 0.647 eV/atom. As for the density: 10430 kg/m³. The calculation puts the uncorrected energy at -4.5717 eV/atom.

a = 3.547 Å, b = 5.086 Å, c = 5.086 Å
α = 90.00°, β = 90.00°, γ = 90.00°
Element x y z (fractional)
N 0.500 0.000 0.000
Au 0.000 0.500 0.000
Au 0.000 0.000 0.500
Rh 0.000 0.000 0.000
Zn 0.500 0.500 0.500